Entry from Alexandria: a relaxed structure of AcSm2YS4 (GGA-PBE).

Properties
As for the space group: P2/m (10). As for the magnetization: 0.000 μB/cell.

```
AcSm2YS4
1.0
4.023 0.000 0.000
0.000 7.012 -0.157
0.000 2.467 6.695
Sm S Ac Y
2 4 1 1
direct
0.000 0.000 0.000
0.500 0.000 0.500
0.000 0.240 0.267
0.000 0.760 0.733
0.500 0.250 0.737
0.500 0.750 0.263
0.500 0.500 0.000
0.000 0.500 0.500
```

Entry from Alexandria: a relaxed structure of AcSmYS3 (GGA-PBE).

Properties
As for the space group: P2_1/m (11). As for the magnetization: 1.104 μB/cell.

```
AcSmYS3
1.0
-3.930 -0.038 -1.081
0.947 -7.147 -3.193
-2.622 -2.010 9.600
S Ac Y Sm
6 2 2 2
direct
0.250 0.810 0.557
0.750 0.481 0.196
0.750 0.190 0.443
0.250 0.093 0.885
0.250 0.519 0.804
0.750 0.907 0.115
0.250 0.188 0.212
0.750 0.812 0.788
0.250 0.175 0.622
0.750 0.825 0.378
0.250 0.664 0.093
0.750 0.336 0.907
```

Entry from Alexandria: a relaxed structure of Ac3SmY3S8 (GGA-PBE).

Properties
As for the space group: R-3m (166). As for the magnetization: 0.000 μB/cell.

```
Ac3SmY3S8
1.0
8.069 0.000 0.000
-4.035 6.988 -0.025
0.000 -4.634 6.906
Ac S Y Sm
3 8 3 1
direct
0.000 0.500 0.000
0.000 0.000 0.000
0.500 0.500 0.000
0.260 0.519 0.279
0.246 0.492 0.727
0.735 0.981 0.727
0.754 0.019 0.273
0.265 0.019 0.273
0.740 0.481 0.721
0.246 0.981 0.727
0.754 0.508 0.273
0.500 0.500 0.500
0.000 0.500 0.500
0.500 0.000 0.500
0.000 0.000 0.500
```

Entry from Alexandria: a relaxed structure of AcSmY2S4 (GGA-PBE).

Properties
As for the space group: P2/m (10). As for the magnetization: 0.000 μB/cell.

```
AcSmY2S4
1.0
3.977 0.000 0.000
0.000 7.139 -0.234
0.000 2.440 6.497
Y S Ac Sm
2 4 1 1
direct
0.500 0.000 0.500
0.000 0.000 0.000
0.000 0.773 0.734
0.500 0.766 0.252
0.000 0.227 0.266
0.500 0.234 0.748
0.500 0.500 0.000
0.000 0.500 0.500
```

Energy relative to the elements, uncorrected values, unit eV/atom, following the record order: -1.980, -1.808, -2.035, -1.984.
Total energy values, unit eV/atom, following the record order: -6.5446, -6.4205, -6.6650, -6.7669.
Theoretical density values, unit g cm⁻³, following the record order: 6.496, 5.888, 5.790, 6.077.